Material: V3Rh2Se8
Method: DFT, PBE
State: optimized geometry

Cell: 11.905 7.234 6.140 Å, 90.00 100.75 90.00°
Space group C2/m (No. 12)
Inequivalent atoms, fractional coordinates:
V  0.000  0.000  0.000 (multiplicity 2)
V  0.000  0.280  0.500 (multiplicity 4)
Rh  0.220  0.500  0.513 (multiplicity 4)
Se  0.089  0.500  0.784 (multiplicity 4)
Se  0.113  0.000  0.695 (multiplicity 4)
Se  0.148  0.226  0.256 (multiplicity 8)

- D(E_F): 0.61 states/eV per atom
- V: 260 Å³/f.u.
- Raw formation energy: -0.504 eV per atom
- M_tot: 4.7 μB/f.u.